# 1
DFT (PBE) results for crystalline BeGeC at its relaxed geometry.

Cell and atoms, written as CIF:
```
data_BeGeC
_space_group_name_H-M_alt 'C 1 m 1'
_space_group_IT_number 8
_cell_length_a 5.622
_cell_length_b 3.247
_cell_length_c 4.989
_cell_angle_alpha 90.00
_cell_angle_beta 112.22
_cell_angle_gamma 90.00
loop_
_space_group_symop_operation_xyz
'x,y,z'
'x,-y,z'
'x+1/2,y+1/2,z'
'x+1/2,-y+1/2,z'
loop_
_atom_site_label
_atom_site_type_symbol
_atom_site_fract_x
_atom_site_fract_y
_atom_site_fract_z
Be1 Be 0.000 0.000 0.000
Ge1 Ge 0.334 0.500 0.504
C1 C 0.118 0.000 0.356
```

Values from the calculation:
The value obtained for the offset from the most stable computed form is 123.8 meV per atom.

# 2
DFT (PBE) results for crystalline BeGeC at its relaxed geometry.

Cell and atoms, written as CIF:
```
data_BeGeC
_space_group_name_H-M_alt 'C 1 m 1'
_space_group_IT_number 8
_cell_length_a 5.301
_cell_length_b 3.060
_cell_length_c 4.561
_cell_angle_alpha 90.00
_cell_angle_beta 112.32
_cell_angle_gamma 90.00
loop_
_space_group_symop_operation_xyz
'x,y,z'
'x,-y,z'
'x+1/2,y+1/2,z'
'x+1/2,-y+1/2,z'
loop_
_atom_site_label
_atom_site_type_symbol
_atom_site_fract_x
_atom_site_fract_y
_atom_site_fract_z
Be1 Be 0.000 0.000 0.000
Ge1 Ge 0.188 0.000 0.559
C1 C 0.108 0.500 0.822
```

Values from the calculation:
The value obtained for the offset from the most stable computed form is 0.0 meV per atom.

# 3
DFT (PBE) results for crystalline BeGeC at its relaxed geometry.

Cell and atoms, written as CIF:
```
data_BeGeC
_space_group_name_H-M_alt 'P 1'
_space_group_IT_number 1
_cell_length_a 3.198
_cell_length_b 3.254
_cell_length_c 4.562
_cell_angle_alpha 69.61
_cell_angle_beta 72.62
_cell_angle_gamma 89.40
loop_
_space_group_symop_operation_xyz
'x,y,z'
loop_
_atom_site_label
_atom_site_type_symbol
_atom_site_fract_x
_atom_site_fract_y
_atom_site_fract_z
Be1 Be 0.000 0.000 0.000
Ge1 Ge 0.297 0.290 0.428
C1 C 0.435 0.920 0.159
```

Values from the calculation:
The value obtained for the offset from the most stable computed form is 28.6 meV per atom.

# 4
DFT (PBE) results for crystalline Be2GeC at its relaxed geometry.

Cell and atoms, written as CIF:
```
data_Be2GeC
_space_group_name_H-M_alt 'I -4 2 d'
_space_group_IT_number 122
_space_group_name_Hall 'I -4 2bw'
_cell_length_a 5.272
_cell_length_b 5.272
_cell_length_c 7.526
_cell_angle_alpha 90.00
_cell_angle_beta 90.00
_cell_angle_gamma 90.00
loop_
_atom_site_label
_atom_site_type_symbol
_atom_site_fract_x
_atom_site_fract_y
_atom_site_fract_z
Be1 Be 0.057 0.250 0.125
Ge1 Ge 0.000 0.000 0.500
C1 C 0.000 0.000 0.000
```

Values from the calculation:
The value obtained for the offset from the most stable computed form is 0.0 meV per atom.

# 5
DFT (PBE) results for crystalline Be2Ge2C at its relaxed geometry.

Cell and atoms, written as CIF:
```
data_Be2Ge2C
_space_group_name_H-M_alt 'I 4/m m m'
_space_group_IT_number 139
_space_group_name_Hall '-I 4 2'
_cell_length_a 2.918
_cell_length_b 2.918
_cell_length_c 15.050
_cell_angle_alpha 90.00
_cell_angle_beta 90.00
_cell_angle_gamma 90.00
loop_
_atom_site_label
_atom_site_type_symbol
_atom_site_fract_x
_atom_site_fract_y
_atom_site_fract_z
Be1 Be 0.000 0.500 0.250
Ge1 Ge 0.000 0.000 0.085
C1 C 0.000 0.000 0.500
```

Values from the calculation:
The value obtained for the offset from the most stable computed form is 0.0 meV per atom.

# 6
DFT (PBE) results for crystalline BeGe3C at its relaxed geometry.

Cell and atoms, written as CIF:
```
data_BeGe3C
_space_group_name_H-M_alt 'P m -3 m'
_space_group_IT_number 221
_space_group_name_Hall '-P 4 2 3'
_cell_length_a 4.264
_cell_length_b 4.264
_cell_length_c 4.264
_cell_angle_alpha 90.00
_cell_angle_beta 90.00
_cell_angle_gamma 90.00
loop_
_atom_site_label
_atom_site_type_symbol
_atom_site_fract_x
_atom_site_fract_y
_atom_site_fract_z
Be1 Be 0.000 0.000 0.000
Ge1 Ge 0.000 0.500 0.500
C1 C 0.500 0.500 0.500
```

Values from the calculation:
The value obtained for the offset from the most stable computed form is 0.0 meV per atom.

| no. | total magnetic moment (μB per formula unit) | energy relative to the elements (eV per formula unit) |
| --- | --- | --- |
| 1 | 0.000 | 1.9 |
| 2 | 0.000 | 1.6 |
| 3 | 0.000 | 1.7 |
| 4 | 0.000 | 2.2 |
| 5 | 0.000 | 5.9 |
| 6 | 0.000 | 5.9 |